(1)
## Ba3Ni5O12 (PBE+U)

Data for a geometry-optimized Ba3Ni5O12 structure.

Spin magnetization ... 46.03 μB per cell
Density ... 5.34 g/cm3
N(E_F) ... 59.751 states/eV/cell
Final energy ... -4.9356 eV per atom
Space-group type ... Ia-3d
Volume ... 279 Å³/f.u.

Cell: 11.318 11.318 11.318 Å, 109.47 109.47 109.47°
Fractional coordinates of all 80 atoms:
Ba: 0.625 0.250 0.375
O: 0.580 0.893 0.395
O: 0.107 0.420 0.105
O: 0.186 0.685 0.080
Ba: 0.250 0.625 0.875
O: 0.393 0.395 0.080
O: 0.686 0.580 0.185
O: 0.395 0.002 0.315
O: 0.420 0.107 0.605
O: 0.580 0.686 0.685
O: 0.107 0.686 0.502
Ni: 0.750 0.125 0.875
O: 0.502 0.315 0.895
Ba: 0.125 0.875 0.750
O: 0.314 0.420 0.815
Ni: 0.500 0.000 0.000
O: 0.605 0.998 0.685
Ni: 0.500 0.500 0.000
O: 0.685 0.498 0.605
O: 0.607 0.002 0.186
Ba: 0.750 0.875 0.625
O: 0.815 0.920 0.314
O: 0.185 0.105 0.998
Ba: 0.875 0.125 0.250
O: 0.105 0.185 0.498
Ba: 0.750 0.375 0.125
Ni: 0.000 0.500 0.000
Ba: 0.875 0.750 0.125
Ba: 0.375 0.750 0.625
Ni: 0.250 0.375 0.625
O: 0.315 0.502 0.395
O: 0.498 0.814 0.893
O: 0.002 0.607 0.686
Ba: 0.125 0.250 0.875
O: 0.893 0.580 0.895
O: 0.314 0.893 0.998
Ni: 0.125 0.375 0.250
O: 0.395 0.393 0.580
O: 0.498 0.685 0.105
O: 0.685 0.186 0.580
Ba: 0.625 0.375 0.750
O: 0.315 0.814 0.420
Ni: 0.375 0.250 0.125
O: 0.895 0.080 0.893
Ni: 0.875 0.625 0.750
O: 0.080 0.895 0.393
Ni: 0.375 0.125 0.750
O: 0.186 0.502 0.607
O: 0.393 0.998 0.814
Ba: 0.375 0.625 0.250
Ni: 0.875 0.250 0.625
O: 0.920 0.815 0.814
Ni: 0.500 0.000 0.500
O: 0.686 0.107 0.002
Ba: 0.250 0.125 0.375
O: 0.002 0.395 0.815
Ni: 0.000 0.000 0.500
O: 0.420 0.314 0.315
O: 0.920 0.105 0.607
O: 0.998 0.605 0.185
O: 0.185 0.080 0.686
O: 0.080 0.185 0.186
O: 0.105 0.920 0.107
O: 0.814 0.315 0.920
Ni: 0.750 0.625 0.375
O: 0.605 0.607 0.420
O: 0.998 0.393 0.314
O: 0.607 0.605 0.920
O: 0.502 0.186 0.107
O: 0.814 0.498 0.393
Ni: 0.125 0.750 0.375
Ni: 0.250 0.875 0.125
Ni: 0.625 0.750 0.875
O: 0.895 0.815 0.502
Ni: 0.625 0.875 0.250
Ni: 0.500 0.500 0.500
Ni: 0.000 0.500 0.500
O: 0.893 0.314 0.498
Ni: 0.000 0.000 0.000
O: 0.815 0.895 0.002

***

(2)
## BaNiO (PBE+U)

Data for a geometry-optimized BaNiO structure.

Spin magnetization ... 0.00 μB per cell
Density ... 6.54 g/cm3
N(E_F) ... 0.000 states/eV/cell
Space-group type ... F-43m
Distance to the lowest polymorph of the same formula ... 1.1770 eV/atom
Volume ... 54 Å³/f.u.

Cell: 4.239 4.239 4.239 Å, 60.00 60.00 60.00°
Fractional coordinates of all 3 atoms:
Ni: 0.500 0.500 0.500
Ba: 0.750 0.750 0.750
O: 0.250 0.250 0.250

***

(3)
## BaNiO (PBE+U)

Data for a geometry-optimized BaNiO structure.

Spin magnetization ... 1.97 μB per cell
Density ... 5.52 g/cm3
N(E_F) ... 0.507 states/eV/cell
Space-group type ... Pmm2
Distance to the lowest polymorph of the same formula ... 0.1355 eV/atom
Volume ... 64 Å³/f.u.

Cell: 3.871 8.363 3.940 Å, 90.02 90.00 89.99°
Fractional coordinates of all 6 atoms:
O: 0.034 0.680 0.119
Ni: 0.033 0.441 0.120
Ni: 0.033 0.923 0.120
O: 0.033 0.970 0.620
Ba: 0.533 0.182 0.620
Ba: 0.534 0.703 0.619